(1)
VASP calculation (PBEsol) on KW after structural relaxation.

Structure (POSCAR):
```
KW
1.0
1.4002 0.8084 6.2043
-1.4002 0.8084 6.2043
0.0000 -1.6168 6.2043
K W
1 1
Cartesian
0.0000 0.0000 0.0000
0.0000 0.0000 9.3065
```

Results
**Formation enthalpy at 0 K**: 1.59 eV/atom
**Distance to the lowest polymorph of the same formula**: 550 meV/atom
**Space-group type**: R-3m



(2)
VASP calculation (PBEsol) on Ba2Te2I after structural relaxation.

Structure (POSCAR):
```
Ba2Te2I
1.0
-3.1885 3.1885 5.4303
3.1885 -3.1885 5.4303
3.1885 3.1885 -5.4303
Ba Te I
2 2 1
Cartesian
3.1885 0.0000 2.7152
0.0000 3.1885 2.7152
0.0000 0.0000 1.5820
0.0000 0.0000 9.2786
0.0000 0.0000 5.4303
```

Results
**Space-group type**: I4/mmm
**Uncorrected formation energy**: -1.30 eV/atom



(3)
VASP calculation (PBEsol) on K3IrF6 after structural relaxation.

Structure (POSCAR):
```
K3IrF6
1.0
6.0150 0.0000 0.0000
2.7104 5.4213 0.0000
2.7067 1.6745 5.1822
K Ir F
3 1 6
Cartesian
0.0000 0.0000 0.0000
3.0211 1.8761 1.3881
8.4110 5.2198 3.7941
5.7161 3.5479 2.5911
4.0279 3.1660 3.6246
5.6366 5.4484 3.2625
4.6679 4.1189 0.9655
6.7642 2.9769 4.2167
5.7955 1.6474 1.9197
7.4042 3.9298 1.5575
```

Results
**Space-group type**: P-1
**Uncorrected formation energy**: -2.27 eV/atom



(4)
VASP calculation (PBEsol) on CaFeNi2 after structural relaxation.

Structure (POSCAR):
```
CaFeNi2
1.0
-1.3692 2.2102 4.6470
1.3692 -2.2102 4.6470
1.3692 2.2102 -4.6470
Ca Fe Ni
1 1 2
Cartesian
0.0000 0.0000 0.0000
1.3692 0.0000 2.6588
0.0000 0.0000 4.6965
0.0000 2.2102 2.0904
```

Results
**Formation enthalpy at 0 K**: 0.32 eV/atom
**Space-group type**: Imm2



(5)
VASP calculation (PBEsol) on CaTi4S8 after structural relaxation.

Structure (POSCAR):
```
CaTi4S8
1.0
3.5642 2.0578 5.6683
-3.5642 2.0578 5.6683
0.0000 -4.1156 5.6683
Ca Ti S
1 4 8
Cartesian
0.0000 0.0000 0.0000
-1.7821 -1.0289 5.6683
-1.7821 1.0289 11.3366
0.0000 2.0578 5.6683
0.0000 0.0000 8.5025
0.0000 0.0000 4.3416
0.0000 -1.9312 7.1073
-1.6725 0.9656 7.1073
-1.6725 -0.9656 9.8976
1.6725 0.9656 7.1073
1.6725 -0.9656 9.8976
0.0000 1.9312 9.8976
0.0000 0.0000 12.6634
```

Results
**Distance to the lowest polymorph of the same formula**: 61 meV/atom
**Space-group type**: R-3m
**Uncorrected formation energy**: -1.47 eV/atom



(6)
VASP calculation (PBEsol) on SrFe2Ag after structural relaxation.

Structure (POSCAR):
```
SrFe2Ag
1.0
4.0227 0.0000 0.0000
0.0000 4.0951 0.0000
0.0000 0.0000 4.3050
Sr Fe Ag
1 2 1
Cartesian
0.0000 0.0000 0.0000
0.0000 2.0475 2.1525
2.0113 0.0000 2.1525
2.0113 2.0475 0.0000
```

Results
**Formation enthalpy at 0 K**: 0.81 eV/atom
**Space-group type**: Pmmm



(7)
VASP calculation (PBEsol) on NaMgAsC2 after structural relaxation.

Structure (POSCAR):
```
NaMgAsC2
1.0
4.0573 0.0000 0.0000
0.0000 4.0573 0.0000
0.0000 0.0000 5.0532
Na Mg As C
1 1 1 2
Cartesian
0.0000 0.0000 0.0000
2.0287 2.0287 0.0000
0.0000 0.0000 2.5266
0.0000 2.0287 2.5266
2.0287 0.0000 2.5266
```

Results
**Formation enthalpy at 0 K**: 1.88 eV/atom
**Space-group type**: P4/mmm



(8)
VASP calculation (PBEsol) on Li2MgZn after structural relaxation.

Structure (POSCAR):
```
Li2MgZn
1.0
0.0000 3.2231 3.2231
3.2231 0.0000 3.2231
3.2231 3.2231 0.0000
Li Mg Zn
2 1 1
Cartesian
0.0000 0.0000 0.0000
1.6115 1.6115 1.6115
4.8346 4.8346 4.8346
3.2231 3.2231 3.2231
```

Results
**Formation enthalpy at 0 K**: -0.12 eV/atom
**Space-group type**: F-43m



(9)
VASP calculation (PBEsol) on ZnTcSe2 after structural relaxation.

Structure (POSCAR):
```
ZnTcSe2
1.0
2.8352 -1.6330 0.0000
2.8352 1.6330 0.0000
-1.8244 0.0000 7.4041
Zn Tc Se
1 1 2
Cartesian
0.0000 0.0000 0.0000
1.9231 0.0000 3.7020
0.0343 0.0000 5.4061
3.8119 0.0000 1.9980
```

Results
**Distance to the lowest polymorph of the same formula**: 0 meV/atom
**Space-group type**: C2/m
**Uncorrected formation energy**: -0.05 eV/atom



(10)
VASP calculation (PBEsol) on BSbSe2N after structural relaxation.

Structure (POSCAR):
```
BSbSe2N
1.0
5.2517 0.0000 0.0000
0.0000 5.2517 0.0000
0.0000 0.0000 3.9244
B Sb Se N
1 1 2 1
Cartesian
0.0000 0.0000 0.0000
2.6258 2.6258 1.9622
0.0000 2.6258 1.9622
2.6258 0.0000 1.9622
2.6258 2.6258 0.0000
```

Results
**Space-group type**: P4/mmm
**Uncorrected formation energy**: 1.66 eV/atom



(11)
VASP calculation (PBEsol) on TcNi2Cl after structural relaxation.

Structure (POSCAR):
```
TcNi2Cl
1.0
2.8652 0.0000 0.0000
0.0000 2.8710 0.0000
-0.0231 0.0000 6.5330
Tc Ni Cl
1 2 1
Cartesian
0.0000 0.0000 0.0000
0.0004 0.0000 2.6516
1.4329 1.4355 1.3523
2.8386 1.4355 4.5874
```

Results
**Distance to the lowest polymorph of the same formula**: 0 meV/atom
**Space-group type**: Pm
**Uncorrected formation energy**: 0.21 eV/atom



(12)
VASP calculation (PBEsol) on AlSn3Os after structural relaxation.

Structure (POSCAR):
```
AlSn3Os
1.0
5.0146 0.0000 0.0000
0.0000 5.0146 0.0000
0.0000 0.0000 5.0146
Al Sn Os
1 3 1
Cartesian
0.0000 0.0000 0.0000
0.0000 0.0000 2.5073
0.0000 2.5073 0.0000
2.5073 0.0000 0.0000
2.5073 2.5073 2.5073
```

Results
**Formation enthalpy at 0 K**: 1.51 eV/atom
**Space-group type**: Pm-3m